Material: ZrNiBr2
Method: DFT, PBE-GGA
State: relaxed

The value obtained for the spin magnetization is 0.00 μB/f.u. As for the formation energy (no corrections): 0.162 eV/atom. The relative energy among the computed polymorphs comes out at 865.1 meV per atom.

The structure belongs to space group F-43m (No. 216); the cell edges are 6.861, 6.861 and 6.861 Å and the angles 90.00°, 90.00° and 90.00°. The asymmetric unit holds Zr at (0.000, 0.000, 0.000), Ni at (0.250, 0.250, 0.750), Br at (0.000, 0.000, 0.500) and Br at (0.250, 0.250, 0.250).


Material: ReNCl4
Method: DFT, PBE-GGA
State: relaxed

The value obtained for the spin magnetization is 0.00 μB/f.u. As for the formation energy (no corrections): -0.412 eV/atom.

The structure belongs to space group I4 (No. 79); the cell edges are 9.046, 9.046 and 4.108 Å and the angles 90.00°, 90.00° and 90.00°. The asymmetric unit holds Re at (0.000, 0.000, 0.000), N at (0.000, 0.000, 0.411) and Cl at (0.066, 0.757, 0.913).


Material: CaSi2
Method: DFT, PBE-GGA
State: relaxed

The value obtained for the spin magnetization is 0.00 μB/f.u. As for the formation energy (no corrections): -0.227 eV/atom.

The structure belongs to space group C2/m (No. 12); the cell edges are 12.512, 3.580 and 5.621 Å and the angles 90.00°, 90.75° and 90.00°. The asymmetric unit holds Ca at (0.123, 0.000, 0.358), Si at (0.067, 0.500, 0.849) and Si at (0.201, 0.000, 0.866).


Material: ScBeSi3
Method: DFT, PBE-GGA
State: relaxed

The value obtained for the spin magnetization is 0.00 μB/f.u. As for the formation energy (no corrections): 0.357 eV/atom. The relative energy among the computed polymorphs comes out at 0.0 meV per atom.

The structure belongs to space group Pm-3m (No. 221); the cell edges are 4.337, 4.337 and 4.337 Å and the angles 90.00°, 90.00° and 90.00°. The asymmetric unit holds Sc at (0.000, 0.000, 0.000), Be at (0.500, 0.500, 0.500) and Si at (0.000, 0.500, 0.500).


Material: NaLi2MgI6
Method: DFT, PBE-GGA
State: relaxed

The value obtained for the spin magnetization is 0.00 μB/f.u. As for the formation energy (no corrections): -0.950 eV/atom.

The structure belongs to space group C2/c (No. 15); the cell edges are 16.296, 14.108 and 6.912 Å and the angles 90.00°, 112.75° and 90.00°. The asymmetric unit holds Na at (0.000, 0.210, 0.250), Li at (0.244, 0.124, 0.920), Mg at (0.000, 0.412, 0.750), I at (0.106, 0.418, 0.181), I at (0.128, 0.002, 0.488) and I at (0.134, 0.279, 0.712).


Material: AcNiCN2
Method: DFT, PBE-GGA
State: relaxed

The value obtained for the spin magnetization is 0.00 μB/f.u. As for the formation energy (no corrections): -0.102 eV/atom.

The structure belongs to space group Cmcm (No. 63); the cell edges are 3.837, 11.632 and 6.322 Å and the angles 90.00°, 90.00° and 90.00°. The asymmetric unit holds Ac at (0.000, 0.186, 0.250), Ni at (0.000, 0.122, 0.750), C at (0.000, 0.500, 0.000) and N at (0.000, 0.393, 0.031).


Material: SrFePb2
Method: DFT, PBE-GGA
State: relaxed

The value obtained for the spin magnetization is 2.51 μB/f.u.

The structure belongs to space group Imm2 (No. 44); the cell edges are 3.726, 4.368 and 14.146 Å and the angles 90.00°, 90.00° and 90.00°. The asymmetric unit holds Sr at (0.000, 0.000, 0.000), Fe at (0.000, 0.500, 0.717), Pb at (0.000, 0.000, 0.363) and Pb at (0.000, 0.500, 0.189).


Material: LaLuPb2
Method: DFT, PBE-GGA
State: relaxed

The value obtained for the spin magnetization is 0.00 μB/f.u.

The structure belongs to space group P4/mmm (No. 123); the cell edges are 5.116, 5.116 and 4.538 Å and the angles 90.00°, 90.00° and 90.00°. The asymmetric unit holds La at (0.000, 0.000, 0.000), Lu at (0.500, 0.500, 0.000) and Pb at (0.000, 0.500, 0.500).


Material: Pm3SmTm6
Method: DFT, PBE-GGA
State: relaxed

The value obtained for the spin magnetization is 0.00 μB/f.u. The relative energy among the computed polymorphs comes out at 155.8 meV per atom.

The structure belongs to space group R3 (No. 146, hexagonal axes); the cell edges are 9.8505, 9.8505 and 11.5292 Å and the angles 90.00°, 90.00° and 120.00°. The asymmetric unit holds Pm at (0.0000, 0.0000, 0.0000), Pm at (0.0000, 0.0000, 0.2499), Pm at (0.0000, 0.0000, 0.5000), Sm at (0.0000, 0.0000, 0.7499), Tm at (0.9996, 0.3284, 0.0007) and Tm at (0.0005, 0.6716, 0.5008).


Material: Ba3Au
Method: DFT, PBE-GGA
State: relaxed

The value obtained for the spin magnetization is 0.00 μB/f.u.

The structure belongs to space group I4/mmm (No. 139); the cell edges are 5.210, 5.210 and 12.602 Å and the angles 90.00°, 90.00° and 90.00°. The asymmetric unit holds Ba at (0.000, 0.000, 0.000), Ba at (0.000, 0.500, 0.250) and Au at (0.000, 0.000, 0.500).


Material: BaU4Cu3S12
Method: DFT, PBE-GGA
State: relaxed

The value obtained for the spin magnetization is 4.99 μB/f.u. As for the formation energy (no corrections): -1.035 eV/atom.

The structure belongs to space group Im-3 (No. 204); the cell edges are 9.734, 9.734 and 9.734 Å and the angles 90.00°, 90.00° and 90.00°. The asymmetric unit holds Ba at (0.000, 0.000, 0.000), U at (0.250, 0.250, 0.250), Cu at (0.000, 0.000, 0.500) and S at (0.000, 0.165, 0.315).


Material: SmInPb2S5
Method: DFT, PBE-GGA
State: relaxed

The value obtained for the spin magnetization is 0.00 μB/f.u. As for the formation energy (no corrections): -0.940 eV/atom.

The structure belongs to space group Cmc2_1 (No. 36); the cell edges are 4.053, 17.979 and 12.879 Å and the angles 90.00°, 90.00° and 90.00°. The asymmetric unit holds Sm at (0.000, 0.207, 0.000), In at (0.000, 0.456, 0.421), Pb at (0.000, 0.129, 0.294), Pb at (0.000, 0.129, 0.649), S at (0.000, 0.045, 0.035), S at (0.000, 0.288, 0.650), S at (0.000, 0.320, 0.354), S at (0.000, 0.360, 0.996) and S at (0.000, 0.480, 0.755).


Material: Pm3S2O
Method: DFT, PBE-GGA
State: relaxed

The value obtained for the spin magnetization is 0.00 μB/f.u. As for the formation energy (no corrections): -2.085 eV/atom. The relative energy among the computed polymorphs comes out at 0.0 meV per atom.

The structure belongs to space group P6_3/mmc (No. 194); the cell edges are 3.7915, 3.7915 and 20.1048 Å and the angles 90.00°, 90.00° and 120.00°. The asymmetric unit holds Pm at (0.0000, 0.0000, 0.0000), Pm at (0.3333, 0.6667, 0.1722), S at (0.3333, 0.6667, 0.5883) and O at (0.0000, 0.0000, 0.2500).


Material: TlTe2
Method: DFT, PBE-GGA
State: relaxed

The value obtained for the spin magnetization is 0.00 μB/f.u. As for the formation energy (no corrections): -0.083 eV/atom. The relative energy among the computed polymorphs comes out at 55.3 meV per atom.

The structure belongs to space group Imma (No. 74); the cell edges are 4.381, 6.099 and 16.262 Å and the angles 90.00°, 90.00° and 90.00°. The asymmetric unit holds Tl at (0.000, 0.250, 0.157), Te at (0.000, 0.250, 0.500) and Te at (0.000, 0.250, 0.676).


Material: TcPOs2
Method: DFT, PBE-GGA
State: relaxed

The value obtained for the spin magnetization is 0.00 μB/f.u.

The structure belongs to space group I-4m2 (No. 119); the cell edges are 3.808, 3.808 and 7.629 Å and the angles 90.00°, 90.00° and 90.00°. The asymmetric unit holds Tc at (0.000, 0.000, 0.000), P at (0.000, 0.500, 0.250), Os at (0.000, 0.000, 0.500) and Os at (0.000, 0.500, 0.750).


Material: LiPmTlAu
Method: DFT, PBE-GGA
State: relaxed

The value obtained for the spin magnetization is 0.00 μB/f.u.

The structure belongs to space group F-43m (No. 216); the cell edges are 7.187, 7.187 and 7.187 Å and the angles 90.00°, 90.00° and 90.00°. The asymmetric unit holds Li at (0.000, 0.000, 0.000), Pm at (0.000, 0.000, 0.500), Tl at (0.250, 0.250, 0.750) and Au at (0.250, 0.250, 0.250).


Material: CsPrI4
Method: DFT, PBE-GGA
State: relaxed

The value obtained for the spin magnetization is 0.00 μB/f.u. As for the formation energy (no corrections): -1.434 eV/atom. The relative energy among the computed polymorphs comes out at 5.3 meV per atom.

The structure belongs to space group C2/m (No. 12); the cell edges are 17.434, 8.491 and 8.328 Å and the angles 90.00°, 94.29° and 90.00°. The asymmetric unit holds Cs at (0.207, 0.000, 0.247), Pr at (0.030, 0.500, 0.280), I at (0.000, 0.245, 0.000), I at (0.105, 0.274, 0.574) and I at (0.198, 0.500, 0.177).


Material: MgNpSi4
Method: DFT, PBE-GGA
State: relaxed

The value obtained for the spin magnetization is 4.41 μB/f.u. As for the formation energy (no corrections): -0.044 eV/atom.

The structure belongs to space group F-43m (No. 216); the cell edges are 7.345, 7.345 and 7.345 Å and the angles 90.00°, 90.00° and 90.00°. The asymmetric unit holds Mg at (0.000, 0.000, 0.000), Np at (0.250, 0.250, 0.750) and Si at (0.127, 0.127, 0.373).


Material: Nd3Al4Ag2
Method: DFT, PBE-GGA
State: relaxed

The value obtained for the spin magnetization is 0.00 μB/f.u.

The structure belongs to space group C2/m (No. 12); the cell edges are 11.085, 4.686 and 8.838 Å and the angles 90.00°, 113.49° and 90.00°. The asymmetric unit holds Nd at (0.000, 0.000, 0.000), Nd at (0.175, 0.500, 0.656), Al at (0.025, 0.000, 0.364), Al at (0.238, 0.500, 0.074) and Ag at (0.096, 0.500, 0.266).


Material: LiPm2Cu3
Method: DFT, PBE-GGA
State: relaxed

The value obtained for the spin magnetization is 0.00 μB/f.u. The relative energy among the computed polymorphs comes out at 11.5 meV per atom.

The structure belongs to space group P1 (No. 1); the cell edges are 3.933, 3.954 and 8.476 Å and the angles 76.62°, 76.66° and 89.93°. The asymmetric unit holds Li at (0.000, 0.000, 0.000), Pm at (0.172, 0.671, 0.659), Pm at (0.400, 0.401, 0.198), Cu at (0.591, 0.090, 0.819), Cu at (0.747, 0.246, 0.509) and Cu at (0.835, 0.835, 0.329).


Material: Pr3YAl4
Method: DFT, PBE-GGA
State: relaxed

The value obtained for the spin magnetization is 0.00 μB/f.u.

The structure belongs to space group P4/mmm (No. 123); the cell edges are 3.717, 3.717 and 14.923 Å and the angles 90.00°, 90.00° and 90.00°. The asymmetric unit holds Pr at (0.000, 0.000, 0.000), Pr at (0.000, 0.000, 0.256), Y at (0.000, 0.000, 0.500), Al at (0.500, 0.500, 0.128) and Al at (0.500, 0.500, 0.387).


Material: Ta2TcOs
Method: DFT, PBE-GGA
State: relaxed

The value obtained for the spin magnetization is 0.00 μB/f.u.

The structure belongs to space group Pm (No. 6); the cell edges are 2.834, 4.514 and 5.220 Å and the angles 90.00°, 102.15° and 90.00°. The asymmetric unit holds Ta at (0.000, 0.000, 0.000), Ta at (0.259, 0.500, 0.719), Tc at (0.776, 0.500, 0.215) and Os at (0.492, 0.000, 0.502).


Material: BaTh4
Method: DFT, PBE-GGA
State: relaxed

The value obtained for the spin magnetization is 0.00 μB/f.u.

The structure belongs to space group Pm-3m (No. 221); the cell edges are 5.816, 5.816 and 5.816 Å and the angles 90.00°, 90.00° and 90.00°. The asymmetric unit holds Ba at (0.000, 0.000, 0.000), Th at (0.000, 0.000, 0.500) and Th at (0.500, 0.500, 0.500).


Material: ZrScSe2
Method: DFT, PBE-GGA
State: relaxed

The value obtained for the spin magnetization is 0.61 μB/f.u. As for the formation energy (no corrections): -1.416 eV/atom. The relative energy among the computed polymorphs comes out at 0.0 meV per atom.

The structure belongs to space group Imm2 (No. 44); the cell edges are 3.587, 3.627 and 12.606 Å and the angles 90.00°, 90.00° and 90.00°. The asymmetric unit holds Zr at (0.000, 0.000, 0.000), Sc at (0.000, 0.500, 0.743), Se at (0.000, 0.000, 0.411) and Se at (0.000, 0.500, 0.163).


Material: NaCaTlCo2
Method: DFT, PBE-GGA
State: relaxed

The value obtained for the spin magnetization is 3.01 μB/f.u.

The structure belongs to space group P4/mmm (No. 123); the cell edges are 5.019, 5.019 and 5.697 Å and the angles 90.00°, 90.00° and 90.00°. The asymmetric unit holds Na at (0.000, 0.000, 0.000), Ca at (0.500, 0.500, 0.000), Tl at (0.500, 0.500, 0.500) and Co at (0.000, 0.500, 0.500).


Record-wise electronic total energy values, in eV per atom: -4.26; -5.11; -4.51; -4.91; -2.55; -7.25; -4.21; -4.67; -4.27; -2.34; -6.48; -4.89; -6.66; -2.97; -9.21; -3.56; -3.41; -6.08; -4.30; -4.06; -4.83; -11.48; -4.96; -6.88; -3.01